No. 1
AsSe2I | GGA-PBE | relaxed

a b c (Å): 5.0704 5.0704 5.0704
angles (deg): 60.00 60.00 60.00
With the nearest neighbours (Å) after each atom.
Positions (direct):
I: 0.5000 0.5000 0.5000  8 Se 3.10
As: 0.0000 0.0000 0.0000  8 Se 3.10
Se: 0.2500 0.2500 0.2500  4 As 3.10, 4 I 3.10
Se: 0.7500 0.7500 0.7500  4 As 3.10, 4 I 3.10

Values from the calculation:
Polymorph energy (0 for the lowest one)   650 meV per atom
Total magnetic moment   0.000 μB per atom
ΔE_f (raw)   0.647 eV/atom
Space group   Fm-3m, No. 225
E   -10.58 eV for the cell shown
Volume   23.04 Å³/atom



No. 2
Si2RhSe | GGA-PBE | relaxed

a b c (Å): 2.9875 2.9875 7.5616
angles (deg): 90.00 90.00 90.39
With the nearest neighbours (Å) after each atom.
Positions (direct):
Rh: 0.0000 0.0000 0.4421  4 Si 2.45-2.46
Se: 0.5000 0.5000 0.7068  4 Rh 2.91-2.92, 4 Se 2.99, 1 Si 3.25
Si: 0.0000 0.0000 0.0736  4 Si 2.61-2.62, 1 Rh 2.79
Si: 0.5000 0.5000 0.2775  4 Rh 2.45-2.46, 4 Si 2.61-2.62

Values from the calculation:
Total magnetic moment   0.000 μB per atom
ΔE_f (raw)   0.065 eV/atom
Space group   Cmm2, No. 35
E   -21.42 eV for the cell shown
Volume   16.87 Å³/atom



No. 3
K2SnH6Au | GGA-PBE | relaxed

a b c (Å): 5.7167 5.7166 5.7908
angles (deg): 60.62 60.62 90.18
With the nearest neighbours (Å) after each atom.
Positions (direct):
K: 0.7502 0.2499 0.5000  12 H 2.86-2.91
K: 0.2498 0.7502 0.5000  12 H 2.86-2.91
Sn: 0.0000 0.0000 0.0000  6 H 2.18-2.20
H: 0.2646 0.2646 0.4710  1 Au 1.96
H: 0.7292 0.7292 0.9999  1 Au 1.85
H: 0.2690 0.7310 0.0000  1 Au 1.87
H: 0.7310 0.2690 0.0000  1 Au 1.87
H: 0.2708 0.2708 0.0001  1 Au 1.85
H: 0.7354 0.7354 0.5290  1 Au 1.96
Au: 0.5000 0.5000 0.0000  6 H 1.85-1.96

Values from the calculation:
Total magnetic moment   0.000 μB per atom
Space group   C2/m, No. 12
E   -29.92 eV for the cell shown
Volume   13.61 Å³/atom



No. 4
Zn3CuRh2 | GGA-PBE | relaxed

a b c (Å): 3.0665 3.0665 8.6950
angles (deg): 90.00 90.00 90.00
With the nearest neighbours (Å) after each atom.
Positions (direct):
Zn: 0.0000 0.0000 0.0000  8 Rh 2.64, 2 Zn 2.92
Zn: 0.0000 0.0000 0.6637  4 Rh 2.59, 4 Cu 2.59, 1 Zn 2.85
Zn: 0.0000 0.0000 0.3363  4 Rh 2.59, 4 Cu 2.59, 1 Zn 2.85
Cu: 0.5000 0.5000 0.5000  8 Zn 2.59, 2 Rh 2.83
Rh: 0.5000 0.5000 0.8259  8 Zn 2.59-2.64, 1 Cu 2.83
Rh: 0.5000 0.5000 0.1741  8 Zn 2.59-2.64, 1 Cu 2.83

Values from the calculation:
Polymorph energy (0 for the lowest one)   36 meV per atom
Total magnetic moment   0.000 μB per atom
Space group   P4/mmm, No. 123
E   -24.52 eV for the cell shown
Formation energy from the elements   -0.3166 eV per atom
Volume   13.63 Å³/atom